First-principles (PBE) data for an optimized crystal structure of CdBiPd6, as listed in Alexandria.

Geometry as extended XYZ:
```
8
Lattice="4.082 0.000 0.000 0.000 4.082 0.000 0.000 0.000 8.156" Properties=species:S:1:pos:R:3 pbc="T T T"
Cd 0.000 0.000 0.000
Pd 2.041 0.000 6.147
Pd 2.041 2.041 0.000
Pd 2.041 2.041 4.078
Pd 0.000 2.041 2.008
Pd 2.041 0.000 2.008
Pd 0.000 2.041 6.147
Bi 0.000 0.000 4.078
```

Calculated values
**Crystal system**: tetragonal
**E above lowest polymorph**: 0.000 eV per formula unit
**Formation energy from the elements**: -0.28 eV/atom
**Symmetry**: P4/mmm, No. 123

=====

First-principles (PBE) data for an optimized crystal structure of CdBi3Pd12, as listed in Alexandria.

Geometry as extended XYZ:
```
16
Lattice="-0.708 3.671 -1.703 -1.857 -1.831 -3.174 -14.378 0.890 7.900" Properties=species:S:1:pos:R:3 pbc="T T T"
Pd -8.472 1.365 1.512
Pd -12.982 2.617 6.087
Pd -9.356 2.393 4.095
Pd -2.679 -0.807 -0.625
Pd -1.283 0.920 -2.438
Pd -13.557 -0.134 5.351
Pd -6.305 -0.583 1.367
Pd -2.104 1.944 0.110
Pd -5.730 2.168 2.102
Pd -9.931 -0.358 3.359
Pd -4.906 1.144 -0.448
Pd -12.038 1.586 3.471
Bi -7.189 0.445 3.950
Bi -3.457 0.214 1.899
Bi -10.922 0.676 6.001
Cd 0.000 0.000 0.000
```

Calculated values
**Crystal system**: tetragonal
**Formation energy from the elements**: -0.27 eV/atom
**Symmetry**: P4/mmm, No. 123

=====

First-principles (PBE) data for an optimized crystal structure of CdBiPd2, as listed in Alexandria.

Geometry as extended XYZ:
```
4
Lattice="3.315 0.000 0.000 1.657 2.871 0.000 1.657 0.957 8.581" Properties=species:S:1:pos:R:3 pbc="T T T"
Cd 3.315 1.914 4.292
Pd 1.657 0.957 6.367
Pd 1.657 0.957 2.214
Bi 4.972 2.871 8.578
```

Calculated values
**Crystal system**: trigonal
**Formation energy from the elements**: -0.16 eV/atom
**Symmetry**: R3m, No. 160

=====

First-principles (PBE) data for an optimized crystal structure of Cd9BiPd2, as listed in Alexandria.

Geometry as extended XYZ:
```
24
Lattice="6.776 0.000 3.120 3.388 8.441 1.560 -0.142 0.000 9.227" Properties=species:S:1:pos:R:3 pbc="T T T"
Cd 1.447 2.674 9.264
Cd 5.644 6.894 6.550
Cd 4.262 3.589 9.552
Cd 0.000 0.000 0.000
Cd 2.185 5.767 9.604
Cd 6.499 4.851 4.694
Cd 7.766 6.894 8.916
Cd 2.372 3.589 2.794
Cd 5.117 1.546 7.696
Cd 5.187 2.674 3.083
Cd 3.594 7.810 4.599
Cd 6.912 4.851 10.772
Cd 4.333 0.631 4.939
Cd 3.040 7.810 7.748
Cd 4.449 5.767 2.743
Cd 1.518 1.546 4.650
Cd 2.301 0.631 7.408
Cd 6.705 4.220 7.733
Pd 6.741 2.110 5.426
Pd 6.670 2.110 10.040
Pd 4.976 6.330 9.260
Pd 8.435 6.330 6.206
Bi 3.388 0.000 1.560
Bi 3.317 4.220 6.173
```

Calculated values
**Crystal system**: tetragonal
**Formation energy from the elements**: -0.07 eV/atom
**Symmetry**: I4_1/amd, No. 141

=====

First-principles (PBE) data for an optimized crystal structure of Cd2BiPd5, as listed in Alexandria.

Geometry as extended XYZ:
```
8
Lattice="-1.573 3.823 -0.799 -1.399 -1.356 -3.733 -5.400 -3.370 5.609" Properties=species:S:1:pos:R:3 pbc="T T T"
Cd -4.888 0.178 -0.614
Cd -3.484 -1.081 1.692
Pd -2.541 1.367 0.450
Pd -5.920 0.319 2.092
Pd -2.453 -1.222 -1.015
Pd -1.486 1.233 -2.266
Pd -5.832 -2.269 0.627
Bi 0.000 0.000 0.000
```

Calculated values
**Crystal system**: monoclinic
**Formation energy from the elements**: -0.31 eV/atom
**Symmetry**: C2/m, No. 12

=====

First-principles (PBE) data for an optimized crystal structure of Cd2BiPd2, as listed in Alexandria.

Geometry as extended XYZ:
```
10
Lattice="8.092 0.000 0.000 0.000 8.092 0.000 0.000 0.000 3.117" Properties=species:S:1:pos:R:3 pbc="T T T"
Bi 4.046 4.046 0.000
Bi 0.000 0.000 0.000
Pd 6.738 2.692 1.559
Pd 5.400 6.738 1.559
Pd 1.354 5.400 1.559
Pd 2.692 1.354 1.559
Cd 3.012 7.058 0.000
Cd 5.080 1.034 0.000
Cd 1.034 3.012 0.000
Cd 7.058 5.080 0.000
```

Calculated values
**Crystal system**: tetragonal
**E above lowest polymorph**: 0.239 eV per formula unit
**Formation energy from the elements**: -0.21 eV/atom
**Symmetry**: P4/mbm, No. 127

=====

First-principles (PBE) data for an optimized crystal structure of Cd4BiPd2, as listed in Alexandria.

Geometry as extended XYZ:
```
7
Lattice="4.325 0.000 1.400 1.936 3.868 1.400 -0.741 -0.458 9.668" Properties=species:S:1:pos:R:3 pbc="T T T"
Cd 0.950 0.587 4.444
Cd 4.570 2.823 8.025
Cd 3.629 2.242 3.551
Cd 1.891 1.168 8.917
Pd 5.411 3.343 5.425
Pd 0.109 0.067 7.044
Bi 0.000 0.000 0.000
```

Calculated values
**Crystal system**: trigonal
**Formation energy from the elements**: -0.15 eV/atom
**Symmetry**: R-3m, No. 166

=====

First-principles (PBE) data for an optimized crystal structure of Cd2BiPd8, as listed in Alexandria.

Geometry as extended XYZ:
```
11
Lattice="-1.794 -2.270 3.225 3.729 -5.657 -1.907 3.779 5.773 3.256" Properties=species:S:1:pos:R:3 pbc="T T T"
Cd 3.519 -2.198 0.411
Cd 2.195 0.044 4.162
Pd 3.398 -4.746 1.460
Pd 2.316 2.592 3.113
Pd 2.990 1.980 5.967
Pd 1.598 -2.014 2.381
Pd 4.117 -0.139 2.192
Pd 4.119 -2.762 3.257
Pd 2.725 -4.133 -1.393
Pd 1.596 0.608 1.316
Bi -0.897 -1.135 1.612
```

Calculated values
**Crystal system**: orthorhombic
**E above lowest polymorph**: 0.860 eV per formula unit
**Formation energy from the elements**: -0.19 eV/atom
**Symmetry**: Immm, No. 71

=====

First-principles (PBE) data for an optimized crystal structure of CdBiPd, as listed in Alexandria.

Geometry as extended XYZ:
```
3
Lattice="-0.494 -2.774 -1.886 3.336 -0.208 -0.568 -0.814 -1.876 6.022" Properties=species:S:1:pos:R:3 pbc="T T T"
Bi 0.027 -0.148 0.210
Pd 1.630 -2.647 0.419
Cd 0.372 -2.064 2.939
```

Calculated values
**Crystal system**: tetragonal
**Formation energy from the elements**: -0.19 eV/atom
**Symmetry**: I4mm, No. 107

=====

First-principles (PBE) data for an optimized crystal structure of Cd3BiPd, as listed in Alexandria.

Geometry as extended XYZ:
```
5
Lattice="-2.782 -2.570 -3.501 3.659 -3.627 -0.245 -2.340 -2.615 3.780" Properties=species:S:1:pos:R:3 pbc="T T T"
Cd -1.391 -1.285 -1.750
Cd 1.829 -1.814 -0.122
Cd -1.170 -1.308 1.890
Bi -0.732 -4.406 0.017
Pd 0.000 0.000 0.000
```

Calculated values
**Crystal system**: cubic
**E above lowest polymorph**: 0.000 eV per formula unit
**Formation energy from the elements**: 0.11 eV/atom
**Symmetry**: Pm-3m, No. 221

=====

First-principles (PBE) data for an optimized crystal structure of Cd2Bi2Pd7, as listed in Alexandria.

Geometry as extended XYZ:
```
11
Lattice="-4.599 -0.892 -3.245 -1.811 -5.685 4.130 -2.627 3.493 3.657" Properties=species:S:1:pos:R:3 pbc="T T T"
Bi -6.709 -0.753 2.396
Bi -2.329 -2.330 2.146
Pd -7.248 -3.343 1.632
Pd -5.399 1.559 3.116
Pd -3.639 -4.642 1.426
Pd -4.871 -2.647 3.073
Pd -1.789 0.260 2.910
Pd -4.167 -0.436 1.469
Pd 0.000 0.000 0.000
Cd -3.974 0.499 -1.052
Cd -5.064 -3.581 5.594
```

Calculated values
**Crystal system**: orthorhombic
**Formation energy from the elements**: 0.01 eV/atom
**Symmetry**: Cmmm, No. 65

=====

First-principles (PBE) data for an optimized crystal structure of Cd2Bi2Pd3, as listed in Alexandria.

Geometry as extended XYZ:
```
7
Lattice="4.488 0.010 -1.262 -2.410 3.969 -0.001 -0.048 -0.026 8.557" Properties=species:S:1:pos:R:3 pbc="T T T"
Pd 0.402 2.962 1.435
Pd 0.000 0.000 0.000
Pd 1.629 0.990 5.858
Cd -0.397 2.477 7.265
Cd 2.428 1.475 0.029
Bi 0.780 0.476 2.797
Bi 1.250 3.476 4.496
```

Calculated values
**Crystal system**: monoclinic
**Formation energy from the elements**: -0.29 eV/atom
**Symmetry**: C2/m, No. 12

=====

Question: Among the records above, which one has the highest formation energy from the elements?
Answer: Cd3BiPd